Entry 1:
LaP2Pt8 | PBE | optimized geometry

a b c (Å): 6.382 6.382 9.436
angles (deg): 125.40 125.40 37.62
Positions (direct):
Pt 0.178 0.178 0.347
Pt 0.473 0.473 0.629
Pt 0.527 0.527 0.371
Pt 0.166 0.166 0.651
Pt 0.770 0.770 0.911
Pt 0.834 0.834 0.349
Pt 0.822 0.822 0.653
Pt 0.230 0.230 0.089
P 0.059 0.059 0.788
P 0.941 0.941 0.212
La 0.500 0.500 0.000

Output
Calculated density (kg/m³): 15764
VASP energy (eV/atom): -6.505


Entry 2:
La3P4Pt4 | PBE | optimized geometry

a b c (Å): 12.497 12.497 12.497
angles (deg): 160.64 160.37 27.71
Positions (direct):
P 0.694 0.194 0.500
P 0.452 0.452 0.000
P 0.306 0.806 0.500
P 0.548 0.548 0.000
Pt 0.404 0.904 0.500
Pt 0.749 0.749 0.000
Pt 0.596 0.096 0.500
Pt 0.251 0.251 0.000
La 0.148 0.648 0.500
La 0.852 0.352 0.500
La 0.000 0.000 0.000

Output
Calculated density (kg/m³): 10095
VASP energy (eV/atom): -6.705


Entry 3:
LaPPt | PBE | optimized geometry

a b c (Å): 6.987 6.987 4.307
angles (deg): 90.00 90.00 120.00
Positions (direct):
P 0.000 0.000 0.000
P 0.667 0.333 0.500
P 0.333 0.667 0.500
La 0.592 0.000 0.000
La 0.000 0.592 0.000
La 0.408 0.408 0.000
Pt 0.745 0.745 0.500
Pt 0.255 0.000 0.500
Pt 0.000 0.255 0.500

Output
Calculated density (kg/m³): 9984
VASP energy (eV/atom): -6.598


Entry 4:
La2PuP3 | PBE | optimized geometry

a b c (Å): 4.191 4.191 10.281
angles (deg): 90.00 90.00 120.00
Each line ends with the local moment (μB).
Positions (direct):
La 0.333 0.667 0.831  0.01
La 0.667 0.333 0.169  0.01
Pu 0.000 0.000 0.500  4.94
P 0.000 0.000 0.000  -0.01
P 0.333 0.667 0.351  -0.10
P 0.667 0.333 0.649  -0.10

Output
Calculated density (kg/m³): 6528
VASP energy (eV/atom): -8.147


Entry 5:
LaPu2P3 | PBE | optimized geometry

a b c (Å): 4.082 4.082 9.976
angles (deg): 90.00 90.00 120.00
Each line ends with the local moment (μB).
Positions (direct):
P 0.000 0.000 0.000  -0.16
P 0.333 0.667 0.316  -0.10
P 0.667 0.333 0.684  -0.10
Pu 0.333 0.667 0.841  4.91
Pu 0.667 0.333 0.159  4.91
La 0.000 0.000 0.500  0.02

Output
Calculated density (kg/m³): 8301
VASP energy (eV/atom): -9.572


Entry 6:
LaRe4P2 | PBE | optimized geometry

a b c (Å): 7.333 7.333 4.058
angles (deg): 90.00 90.00 147.59
Positions (direct):
P 0.409 0.591 0.500
P 0.591 0.409 0.500
Re 0.305 0.695 0.000
Re 0.815 0.185 0.500
Re 0.185 0.815 0.500
Re 0.695 0.305 0.000
La 0.000 0.000 0.000

Output
Calculated density (kg/m³): 13424
VASP energy (eV/atom): -9.934


Entry 7:
La2SmP3 | PBE | optimized geometry

a b c (Å): 4.217 4.217 10.330
angles (deg): 90.00 90.00 120.00
Positions (direct):
La 0.333 0.667 0.829
La 0.667 0.333 0.171
Sm 0.000 0.000 0.500
P 0.000 0.000 0.000
P 0.667 0.333 0.660
P 0.333 0.667 0.340

Output
Calculated density (kg/m³): 5440
VASP energy (eV/atom): -6.704


Entry 8:
La2TaP2 | PBE | optimized geometry

a b c (Å): 10.022 10.021 3.472
angles (deg): 80.04 80.01 19.95
Positions (direct):
Ta 0.500 0.500 0.500
P 0.250 0.250 0.250
P 0.750 0.750 0.750
La 0.881 0.881 0.119
La 0.119 0.119 0.881

Output
Calculated density (kg/m³): 7382
VASP energy (eV/atom): -6.549


Entry 9:
LaTb2P3 | PBE | optimized geometry

a b c (Å): 4.107 4.107 10.069
angles (deg): 90.00 90.00 120.00
Positions (direct):
La 0.000 0.000 0.500
P 0.000 0.000 0.000
P 0.667 0.333 0.678
P 0.333 0.667 0.322
Tb 0.667 0.333 0.161
Tb 0.333 0.667 0.839

Output
Calculated density (kg/m³): 6206
VASP energy (eV/atom): -6.657


Entry 10:
LaTc2P2 | PBE | optimized geometry

a b c (Å): 5.878 5.878 5.878
angles (deg): 138.24 138.24 60.54
Positions (direct):
La 0.000 0.000 0.000
P 0.643 0.643 0.000
P 0.357 0.357 0.000
Tc 0.750 0.250 0.500
Tc 0.250 0.750 0.500

Output
Calculated density (kg/m³): 7392
VASP energy (eV/atom): -8.224


Entry 11:
La3ThP4 | PBE | optimized geometry

a b c (Å): 7.332 7.332 4.231
angles (deg): 90.00 90.00 109.41
Positions (direct):
La 0.000 0.500 0.000
La 0.500 0.000 0.000
La 0.500 0.500 0.500
P 0.758 0.758 0.000
P 0.242 0.242 0.000
P 0.754 0.246 0.500
P 0.246 0.754 0.500
Th 0.000 0.000 0.500

Output
Calculated density (kg/m³): 5981
VASP energy (eV/atom): -7.075


Entry 12:
LaTmP2 | PBE | optimized geometry

a b c (Å): 4.126 4.126 5.823
angles (deg): 90.00 90.00 90.00
Positions (direct):
Tm 0.500 0.500 0.000
P 0.500 0.500 0.500
P 0.000 0.000 0.000
La 0.000 0.000 0.500

Output
Calculated density (kg/m³): 6194
VASP energy (eV/atom): -6.571


Entry 13:
LaTm2P3 | PBE | optimized geometry

a b c (Å): 4.055 4.055 9.931
angles (deg): 90.00 90.00 120.00
Positions (direct):
P 0.000 0.000 0.000
P 0.667 0.333 0.683
P 0.333 0.667 0.317
Tm 0.333 0.667 0.842
Tm 0.667 0.333 0.158
La 0.000 0.000 0.500

Output
Calculated density (kg/m³): 6689
VASP energy (eV/atom): -6.590


Entry 14:
LaU2P3 | PBE | optimized geometry

a b c (Å): 4.009 4.009 10.032
angles (deg): 90.00 90.00 120.00
Each line ends with the local moment (μB).
Positions (direct):
U 0.667 0.333 0.157  1.99
U 0.333 0.667 0.843  1.99
P 0.000 0.000 0.000  -0.08
P 0.667 0.333 0.687  -0.05
P 0.333 0.667 0.313  -0.05
La 0.000 0.000 0.500  0.02

Output
Calculated density (kg/m³): 8419
VASP energy (eV/atom): -8.430


Entry 15:
LaZrP2 | PBE | optimized geometry

a b c (Å): 3.504 5.174 9.210
angles (deg): 90.00 90.00 90.00
Positions (direct):
La 0.000 0.999 0.250
La 0.000 0.001 0.750
P 0.500 0.500 0.750
P 0.500 0.000 0.500
P 0.500 0.000 0.000
P 0.500 0.500 0.250
Zr 0.003 0.500 0.000
Zr 0.997 0.500 0.500

Output
Calculated density (kg/m³): 5810
VASP energy (eV/atom): -6.924


Entry 16:
LaPmPa | PBE | optimized geometry

a b c (Å): 5.371 5.371 5.371
angles (deg): 60.00 60.00 60.00
Positions (direct):
La 0.250 0.250 0.250
Pa 0.000 0.000 0.000
Pm 0.750 0.750 0.750

Output
Calculated density (kg/m³): 7805
VASP energy (eV/atom): -5.346


Entry 17:
LaPaPt | PBE | optimized geometry

a b c (Å): 4.932 4.932 4.932
angles (deg): 60.00 60.00 60.00
Positions (direct):
Pt 0.000 0.000 0.000
Pa 0.750 0.750 0.750
La 0.250 0.250 0.250

Output
Offset from the most stable computed form (meV/atom): 0
Calculated density (kg/m³): 11063


Entry 18:
LaPuPa | PBE | optimized geometry

a b c (Å): 5.040 5.040 5.040
angles (deg): 60.00 60.00 60.00
Each line ends with the local moment (μB).
Positions (direct):
Pa 0.500 0.500 0.500  1.36
La 0.000 0.000 0.000  0.34
Pu 0.750 0.750 0.750  5.78

Output
Offset from the most stable computed form (meV/atom): 0
Calculated density (kg/m³): 11264


Entry 19:
RbLaPa | PBE | optimized geometry

a b c (Å): 5.545 5.545 5.545
angles (deg): 60.00 60.00 60.00
Positions (direct):
La 0.000 0.000 0.000
Rb 0.750 0.750 0.750
Pa 0.250 0.250 0.250

Output
Calculated density (kg/m³): 6274
VASP energy (eV/atom): -3.410


Entry 20:
La5Pa2S12 | PBE | optimized geometry

a b c (Å): 8.777 8.777 9.253
angles (deg): 105.77 105.77 51.36
Each line ends with the local moment (μB).
Positions (direct):
S 0.598 0.101 0.432  0.00
S 0.444 0.903 0.089  -0.01
S 0.101 0.598 0.432  0.00
S 0.501 0.501 0.210  -0.01
S 0.499 0.499 0.790  -0.01
S 0.402 0.899 0.568  0.00
S 0.097 0.556 0.911  -0.01
S 0.003 0.003 0.806  -0.01
S 0.903 0.444 0.089  -0.01
S 0.556 0.097 0.911  -0.01
S 0.899 0.402 0.568  0.00
S 0.997 0.997 0.194  -0.01
Pa 0.251 0.749 0.000  0.50
Pa 0.749 0.251 0.000  0.50
La 0.000 0.000 0.500  0.01
La 0.295 0.295 0.636  0.00
La 0.310 0.310 0.175  0.00
La 0.705 0.705 0.364  0.00
La 0.690 0.690 0.825  0.00

Output
Calculated density (kg/m³): 4822
VASP energy (eV/atom): -6.879